Record 1
Density functional theory data (SCAN) for a crystal of MnTeS2Cl relaxed with PBEsol.

Calculated values
* E: -16.711 eV/atom
* ΔE_f (raw): -0.16 eV/atom

Lattice parameters (Å, degrees): 4.6566 4.6566 4.4241 90.00 90.00 90.00
Fractional positions:
1 Mn 0.0000 0.0000 0.0000
2 Te 0.5000 0.5000 0.5000
3 S 0.0000 0.5000 0.0000
4 S 0.5000 0.0000 0.0000
5 Cl 0.0000 0.0000 0.5000

=====

Record 2
Density functional theory data (SCAN) for a crystal of CoBr2Cl relaxed with PBEsol.

Calculated values
* polymorph energy (0 for the lowest one): 6.47 kcal/mol of atoms
* E: -15.922 eV/atom
* ΔE_f (raw): 0.13 eV/atom

Lattice parameters (Å, degrees): 3.0978 3.0978 8.8205 90.00 90.00 90.00
Fractional positions:
1 Co 0.0000 0.0000 0.0000
2 Br 0.5000 0.5000 0.1784
3 Br 0.5000 0.5000 0.8216
4 Cl 0.0000 0.0000 0.5000

=====

> The highest ΔE_f (raw) belongs to which entry?

CoBr2Cl

=====

> Which formula does entry 1 have?

MnTeS2Cl

=====

> Among the records above, which one has the highest ΔE_f (raw)?

CoBr2Cl

=====

> Among the records above, which one has the highest E?

CoBr2Cl